{
  "formula": "Pr6Nd4Mg",
  "functional": "PBE",
  "state": "relaxed",
  "lattice": [[-3.364, 3.364, 8.591], [3.364, -3.364, 8.591], [3.364, 3.364, -8.591]],
  "species": ["Pr", "Pr", "Pr", "Pr", "Pr", "Pr", "Nd", "Nd", "Nd", "Nd", "Mg"],
  "fractional_positions": [[0.000, 0.500, 0.500], [0.045, 0.714, 0.000], [0.286, 0.286, 0.331], [0.500, 0.000, 0.500], [0.714, 0.045, 0.000], [0.955, 0.955, 0.669], [0.140, 0.140, 0.638], [0.499, 0.860, 0.000], [0.501, 0.501, 0.362], [0.860, 0.499, 0.000], [0.500, 0.500, 0.000]],
  "space_group": "I-42m, No. 121",
  "magmom_total_mub_per_cell": 0.00,
  "delta_e_f_ev_per_atom": 0.24,
  "vol_a3_per_atom": 35.4,
  "n_ef_per_ev_cell": 15.57
}

---

{
  "formula": "La3Re2N8",
  "functional": "PBE",
  "state": "relaxed",
  "lattice": [[2.873, 1.659, 6.866], [-2.873, 1.659, 6.866], [0.000, -3.317, 6.866]],
  "species": ["La", "La", "La", "Re", "Re", "N", "N", "N", "N", "N", "N", "N", "N"],
  "fractional_positions": [[0.000, 0.000, 0.000], [0.201, 0.201, 0.201], [0.799, 0.799, 0.799], [0.406, 0.406, 0.406], [0.594, 0.594, 0.594], [0.219, 0.736, 0.736], [0.264, 0.264, 0.781], [0.264, 0.781, 0.264], [0.318, 0.318, 0.318], [0.682, 0.682, 0.682], [0.736, 0.219, 0.736], [0.736, 0.736, 0.219], [0.781, 0.264, 0.264]],
  "space_group": "R-3m, No. 166",
  "magmom_total_mub_per_cell": 0.00,
  "vol_a3_per_atom": 15.1,
  "raw_formation_energy_ev_per_fu": -9.91,
  "n_ef_per_ev_cell": 8.90
}

---

{
  "formula": "LiMo2Br",
  "functional": "PBE",
  "state": "relaxed",
  "lattice": [[3.250, 0.000, 0.000], [0.000, 5.558, 0.000], [-0.222, 0.000, 4.258]],
  "species": ["Li", "Mo", "Mo", "Br"],
  "fractional_positions": [[0.000, 0.000, 0.000], [0.268, 0.500, 0.196], [0.732, 0.500, 0.804], [0.500, 0.000, 0.500]],
  "space_group": "P2/m, No. 10",
  "e_above_lowest_polymorph_ev_per_atom": 0.3713,
  "magmom_total_mub_per_cell": 0.00,
  "vol_a3_per_atom": 19.2,
  "raw_formation_energy_ev_per_fu": 1.76,
  "n_ef_per_ev_cell": 1.97
}

---

{
  "formula": "Ac2NpP3Rh4",
  "functional": "PBE",
  "state": "relaxed",
  "lattice": [[4.168, 0.000, 0.000], [0.000, 4.168, 0.000], [0.000, 0.000, 11.142]],
  "species": ["Ac", "Ac", "Np", "P", "P", "P", "Rh", "Rh", "Rh", "Rh"],
  "fractional_positions": [[0.000, 0.500, 0.232], [0.500, 0.000, 0.768], [0.000, 0.000, 0.500], [0.000, 0.500, 0.879], [0.500, 0.000, 0.121], [0.500, 0.500, 0.500], [0.000, 0.000, 0.000], [0.000, 0.500, 0.659], [0.500, 0.000, 0.341], [0.500, 0.500, 0.000]],
  "space_group": "P-4m2, No. 115",
  "magmom_total_mub_per_cell": 4.29,
  "delta_e_f_ev_per_atom": -0.88,
  "vol_a3_per_atom": 19.4,
  "n_ef_per_ev_cell": 8.96
}